SmGaPdPb (PBE, optimized geometry); spin magnetization = 0.00 μB/cell; crystal system = cubic
1.0
5.0189 0.0000 0.0000
2.5094 4.3465 0.0000
2.5094 1.4488 4.0979
Pb Ga Pd Sm
1 1 1 1
Cartesian
2.5094 1.4488 1.0245
0.0000 0.0000 0.0000
5.0189 2.8977 2.0490
7.5283 4.3465 3.0734



Sr2GaPd6Pb (PBE, optimized geometry); spin magnetization = 0.00 μB/cell; crystal system = triclinic
1.0
6.9635 -0.4217 -1.2694
-0.3739 6.6864 1.0074
2.4909 3.8554 4.9945
Sr Ga Pd Pb
2 1 6 1
Cartesian
2.5905 6.9971 3.1341
6.4900 3.1231 1.5984
3.2948 3.1324 -0.1310
4.0448 8.7353 5.3793
4.2067 5.3554 0.7719
2.9855 3.4999 2.3470
5.0357 1.3849 -0.6469
4.8738 4.7648 3.9605
6.0951 6.6203 2.3854
0.0000 0.0000 0.0000



Sr2GaPdPb (PBE, optimized geometry); spin magnetization = 0.00 μB/cell; crystal system = tetragonal
1.0
5.8902 0.0000 0.0000
0.0000 5.8902 0.0000
0.0000 0.0000 4.7765
Pb Sr Ga Pd
1 2 1 1
Cartesian
2.9451 2.9451 2.3882
0.0000 2.9451 0.0000
2.9451 0.0000 0.0000
0.0000 0.0000 2.3882
0.0000 0.0000 0.0000



Number 1: E -0.17151 hartree per atom, E_form -0.505 eV/atom. Number 2: E -0.17052 hartree per atom, E_form -0.514 eV/atom. Number 3: E -0.12844 hartree per atom, E_form -0.437 eV/atom.